Record 1
A plane-wave DFT calculation with PBE was carried out for a relaxed Zn6Pd3Au crystal.

Cell: 7.366 4.497 9.642 Å, 90.00 111.10 90.00°
Atoms (fractional coordinates):
Zn: 0.001 0.250 0.169
Zn: 0.019 0.250 0.679
Zn: 0.193 0.750 0.128
Zn: 0.214 0.250 0.486
Zn: 0.392 0.750 0.926
Zn: 0.425 0.250 0.273
Zn: 0.575 0.750 0.727
Zn: 0.608 0.250 0.074
Zn: 0.786 0.750 0.514
Zn: 0.807 0.250 0.872
Zn: 0.981 0.750 0.321
Zn: 0.999 0.750 0.831
Pd: 0.170 0.750 0.628
Pd: 0.201 0.250 0.980
Pd: 0.418 0.250 0.784
Pd: 0.582 0.750 0.216
Pd: 0.799 0.750 0.020
Pd: 0.830 0.250 0.372
Au: 0.377 0.750 0.423
Au: 0.623 0.250 0.577

Calculated values
energy above the lowest structure with this stoichiometry	0.0	meV/atom
total energy	-3.03	eV/atom
ΔH_f (0 K)	-382	meV/atom
density	10.13	g/cm³

=====

Record 2
A plane-wave DFT calculation with PBE was carried out for a relaxed Zn2Pd3Au2 crystal.

Cell: 4.396 4.396 7.202 Å, 107.10 90.63 119.55°
Atoms (fractional coordinates):
Zn: 0.093 0.184 0.278
Zn: 0.907 0.816 0.722
Pd: 0.225 0.451 0.675
Pd: 0.500 0.000 0.500
Pd: 0.775 0.549 0.325
Au: 0.365 0.731 0.097
Au: 0.635 0.269 0.903

Calculated values
energy above the lowest structure with this stoichiometry	20.7	meV/atom
total energy	-3.82	eV/atom
ΔH_f (0 K)	-293	meV/atom
density	12.33	g/cm³

=====

Record 3
A plane-wave DFT calculation with PBE was carried out for a relaxed Zn3PdAu crystal.

Cell: 4.765 4.765 4.765 Å, 90.00 90.00 90.00°
Atoms (fractional coordinates):
Zn: 0.000 0.000 0.500
Zn: 0.000 0.500 0.000
Zn: 0.500 0.000 0.000
Pd: 0.000 0.000 0.000
Au: 0.500 0.500 0.500

Calculated values
energy above the lowest structure with this stoichiometry	417.6	meV/atom
total energy	-2.25	eV/atom
ΔH_f (0 K)	204	meV/atom
density	7.67	g/cm³

=====

Which value of density does entry 1 give?
10.13 g/cm³

=====

Among the records above, which one has the lowest energy above the lowest structure with this stoichiometry?
Zn6Pd3Au